# 1
VASP calculation (GGA-PBE) on a relaxed Cs2TiNiBr6 crystal.

Geometry as POSCAR:
```
Cs2TiNiBr6
1.0
-3.8259 3.8259 5.2183
3.8259 -3.8259 5.2183
3.8259 3.8259 -5.2183
Cs Ti Ni Br
2 1 1 6
Cartesian
3.8259 0.0000 2.6091
0.0000 3.8259 2.6091
0.0000 0.0000 0.0000
0.0000 0.0000 5.2183
1.8531 1.8531 0.0000
1.9728 -1.9728 5.2183
0.0000 0.0000 2.6834
0.0000 0.0000 7.7532
-1.9728 1.9728 5.2183
1.9728 1.9728 5.2183
```

Calculated values
mass density	4629	kg/m3
raw formation energy	-1.13	eV per atom
SG	No. 139


# 2
VASP calculation (GGA-PBE) on a relaxed Cs3TlNi2Br9 crystal.

Geometry as POSCAR:
```
Cs3TlNi2Br9
1.0
7.6521 0.0000 0.0000
-3.8261 6.6269 0.0000
0.0000 0.0000 9.4783
Cs Tl Ni Br
3 1 2 9
Cartesian
0.0000 0.0000 0.0000
0.0000 4.4180 6.3613
3.8261 2.2090 3.1170
0.0000 0.0000 4.7392
0.0000 4.4180 1.4603
3.8261 2.2090 8.0180
-1.9130 3.3135 0.0000
0.0000 2.3977 2.9041
-1.7496 5.4281 2.9041
2.0765 1.1989 6.5743
3.8261 0.0000 0.0000
1.9130 3.3135 0.0000
1.7496 5.4281 2.9041
5.5756 1.1989 6.5743
3.8261 4.2292 6.5743
```

Calculated values
mass density	4974	kg/m3
raw formation energy	-0.94	eV per atom
SG	No. 164


# 3
VASP calculation (GGA-PBE) on a relaxed CsTlNiBr4 crystal.

Geometry as POSCAR:
```
CsTlNiBr4
1.0
6.8663 0.0000 0.0000
0.0000 7.6852 0.0000
-2.7960 0.0000 9.7743
Cs Tl Ni Br
2 2 2 8
Cartesian
0.2351 1.9213 4.0955
3.8352 5.7639 5.6788
2.2530 5.7639 0.3510
1.8172 1.9213 9.4233
-1.6188 1.9213 7.8567
5.6891 5.7639 1.9176
1.1895 1.9213 0.4707
0.5174 5.7639 3.5893
-0.2322 0.0354 7.3397
-0.2322 3.8072 7.3397
4.3025 3.8779 2.4346
4.3025 7.6498 2.4346
3.5529 1.9213 6.1850
2.8808 5.7639 9.3036
```

Calculated values
mass density	4608	kg/m3
raw formation energy	-0.88	eV per atom
SG	No. 11


# 4
VASP calculation (GGA-PBE) on a relaxed Cs3TlNi2Br8 crystal.

Geometry as POSCAR:
```
Cs3TlNi2Br8
1.0
7.9292 0.0000 0.0000
-3.9646 6.8669 0.0000
0.0000 0.0000 10.3717
Cs Tl Ni Br
3 1 2 8
Cartesian
0.0000 0.0000 0.0000
0.0000 4.5780 6.5097
3.9646 2.2890 3.8620
0.0000 0.0000 5.1859
0.0000 4.5780 2.0399
3.9646 2.2890 8.3318
0.0000 2.4369 3.1482
-1.8542 5.6485 3.1482
0.0000 4.5780 10.0866
2.1104 1.2185 7.2236
1.8542 5.6485 3.1482
3.9646 2.2890 0.2851
5.8188 1.2185 7.2236
3.9646 4.4300 7.2236
```

Calculated values
mass density	3998	kg/m3
raw formation energy	-1.00	eV per atom
SG	No. 164


| no. | final energy (eV per atom) |
| --- | --- |
| 1 | -3.6691 |
| 2 | -3.0446 |
| 3 | -3.1250 |
| 4 | -3.1309 |